Record 1
Computed, not measured: a relaxed CsGeH2Cl8 crystal at the GGA-PBE level of DFT.

Computed properties:
The total energy comes out at -0.111 hartree per atom. As for the space group: P-1 (2).

```
data_CsGeH2Cl8
_cell_length_a 6.413
_cell_length_b 6.776
_cell_length_c 9.670
_cell_angle_alpha 87.49
_cell_angle_beta 74.14
_cell_angle_gamma 64.51
_symmetry_space_group_name_H-M 'P 1'
_symmetry_Int_Tables_number 1
_symmetry_space_group_name_Hall 'P 1'
loop_
_atom_site_label
_atom_site_type_symbol
_atom_site_fract_x
_atom_site_fract_y
_atom_site_fract_z
_atom_site_occupancy
Cs1 Cs 0.000 0.000 0.000 1
Ge1 Ge 0.000 0.000 0.500 1
H1 H 0.488 0.699 0.164 1
H2 H 0.512 0.301 0.836 1
Cl1 Cl 0.156 0.740 0.647 1
Cl2 Cl 0.172 0.728 0.310 1
Cl3 Cl 0.333 0.339 0.955 1
Cl4 Cl 0.336 0.087 0.426 1
Cl5 Cl 0.664 0.913 0.574 1
Cl6 Cl 0.667 0.661 0.045 1
Cl7 Cl 0.828 0.272 0.690 1
Cl8 Cl 0.844 0.260 0.353 1
```

Record 2
Computed, not measured: a relaxed Cs2GeHCl6 crystal at the GGA-PBE level of DFT.

Computed properties:
The total energy comes out at -0.115 hartree per atom. As for the space group: Fm-3m (225).

```
data_Cs2GeHCl6
_cell_length_a 7.508
_cell_length_b 7.508
_cell_length_c 7.508
_cell_angle_alpha 60.00
_cell_angle_beta 60.00
_cell_angle_gamma 60.00
_symmetry_space_group_name_H-M 'P 1'
_symmetry_Int_Tables_number 1
_symmetry_space_group_name_Hall 'P 1'
loop_
_atom_site_label
_atom_site_type_symbol
_atom_site_fract_x
_atom_site_fract_y
_atom_site_fract_z
_atom_site_occupancy
Cs1 Cs 0.250 0.250 0.250 1
Cs2 Cs 0.750 0.750 0.750 1
Ge1 Ge 0.000 0.000 0.000 1
H1 H 0.500 0.500 0.500 1
Cl1 Cl 0.220 0.220 0.780 1
Cl2 Cl 0.220 0.780 0.220 1
Cl3 Cl 0.220 0.780 0.780 1
Cl4 Cl 0.780 0.220 0.220 1
Cl5 Cl 0.780 0.220 0.780 1
Cl6 Cl 0.780 0.780 0.220 1
```

Record 3
Computed, not measured: a relaxed Cs3Ge2I4Cl3 crystal at the GGA-PBE level of DFT.

Computed properties:
The total energy comes out at -0.114 hartree per atom. As for the space group: Imm2 (44). Its formation energy from raw total energies is -1.140 eV/atom.

```
data_Cs3Ge2I4Cl3
_cell_length_a 15.701
_cell_length_b 15.701
_cell_length_c 15.701
_cell_angle_alpha 160.16
_cell_angle_beta 29.99
_cell_angle_gamma 157.74
_symmetry_space_group_name_H-M 'P 1'
_symmetry_Int_Tables_number 1
_symmetry_space_group_name_Hall 'P 1'
loop_
_atom_site_label
_atom_site_type_symbol
_atom_site_fract_x
_atom_site_fract_y
_atom_site_fract_z
_atom_site_occupancy
Cs1 Cs 0.000 0.000 0.000 1
Cs2 Cs 0.085 0.906 0.179 1
Cs3 Cs 0.726 0.906 0.821 1
Ge1 Ge 0.322 0.912 0.410 1
Ge2 Ge 0.502 0.912 0.590 1
I1 I 0.211 0.902 0.310 1
I2 I 0.592 0.902 0.690 1
I3 I 0.789 0.378 0.411 1
I4 I 0.967 0.378 0.589 1
Cl1 Cl 0.298 0.389 0.909 1
Cl2 Cl 0.391 0.891 0.500 1
Cl3 Cl 0.481 0.389 0.091 1
```

Record 4
Computed, not measured: a relaxed CsGeICl2 crystal at the GGA-PBE level of DFT.

Computed properties:
The total energy comes out at -0.120 hartree per atom. As for the space group: P4/mmm (123). Its formation energy from raw total energies is -1.129 eV/atom.

```
data_CsGeICl2
_cell_length_a 5.407
_cell_length_b 5.407
_cell_length_c 5.936
_cell_angle_alpha 90.00
_cell_angle_beta 90.00
_cell_angle_gamma 90.00
_symmetry_space_group_name_H-M 'P 1'
_symmetry_Int_Tables_number 1
_symmetry_space_group_name_Hall 'P 1'
loop_
_atom_site_label
_atom_site_type_symbol
_atom_site_fract_x
_atom_site_fract_y
_atom_site_fract_z
_atom_site_occupancy
Cs1 Cs 0.000 0.000 0.000 1
Ge1 Ge 0.500 0.500 0.500 1
I1 I 0.500 0.500 0.000 1
Cl1 Cl 0.000 0.500 0.500 1
Cl2 Cl 0.500 0.000 0.500 1
```

Record 5
Computed, not measured: a relaxed Cs3Ge2I3Cl4 crystal at the GGA-PBE level of DFT.

Computed properties:
The total energy comes out at -0.118 hartree per atom. As for the space group: Imm2 (44). Its formation energy from raw total energies is -1.218 eV/atom.

```
data_Cs3Ge2I3Cl4
_cell_length_a 15.328
_cell_length_b 15.328
_cell_length_c 15.328
_cell_angle_alpha 157.50
_cell_angle_beta 31.21
_cell_angle_gamma 158.65
_symmetry_space_group_name_H-M 'P 1'
_symmetry_Int_Tables_number 1
_symmetry_space_group_name_Hall 'P 1'
loop_
_atom_site_label
_atom_site_type_symbol
_atom_site_fract_x
_atom_site_fract_y
_atom_site_fract_z
_atom_site_occupancy
Cs1 Cs 0.000 0.000 0.000 1
Cs2 Cs 0.178 0.991 0.187 1
Cs3 Cs 0.804 0.991 0.813 1
Ge1 Ge 0.429 0.038 0.391 1
Ge2 Ge 0.647 0.038 0.609 1
I1 I 0.390 0.490 0.899 1
I2 I 0.514 0.014 0.500 1
I3 I 0.591 0.490 0.101 1
Cl1 Cl 0.065 0.454 0.611 1
Cl2 Cl 0.312 0.007 0.305 1
Cl3 Cl 0.703 0.007 0.695 1
Cl4 Cl 0.842 0.454 0.389 1
```

Record 6
Computed, not measured: a relaxed CsGeI2Cl crystal at the GGA-PBE level of DFT.

Computed properties:
The total energy comes out at -0.112 hartree per atom. As for the space group: P4/mmm (123). Its formation energy from raw total energies is -0.969 eV/atom.

```
data_CsGeI2Cl
_cell_length_a 6.038
_cell_length_b 6.038
_cell_length_c 5.324
_cell_angle_alpha 90.00
_cell_angle_beta 90.00
_cell_angle_gamma 90.00
_symmetry_space_group_name_H-M 'P 1'
_symmetry_Int_Tables_number 1
_symmetry_space_group_name_Hall 'P 1'
loop_
_atom_site_label
_atom_site_type_symbol
_atom_site_fract_x
_atom_site_fract_y
_atom_site_fract_z
_atom_site_occupancy
Cs1 Cs 0.000 0.000 0.000 1
Ge1 Ge 0.500 0.500 0.500 1
I1 I 0.000 0.500 0.500 1
I2 I 0.500 0.000 0.500 1
Cl1 Cl 0.500 0.500 0.000 1
```

Record 7
Computed, not measured: a relaxed Cs2GeICl5 crystal at the GGA-PBE level of DFT.

Computed properties:
The total energy comes out at -0.117 hartree per atom. As for the space group: I4mm (107). Its formation energy from raw total energies is -1.292 eV/atom.

```
data_Cs2GeICl5
_cell_length_a 7.606
_cell_length_b 7.606
_cell_length_c 7.606
_cell_angle_alpha 117.96
_cell_angle_beta 117.96
_cell_angle_gamma 93.57
_symmetry_space_group_name_H-M 'P 1'
_symmetry_Int_Tables_number 1
_symmetry_space_group_name_Hall 'P 1'
loop_
_atom_site_label
_atom_site_type_symbol
_atom_site_fract_x
_atom_site_fract_y
_atom_site_fract_z
_atom_site_occupancy
Cs1 Cs 0.000 0.500 0.500 1
Cs2 Cs 0.500 0.000 0.500 1
Ge1 Ge 0.252 0.252 0.000 1
I1 I 0.987 0.987 0.000 1
Cl1 Cl 0.038 0.038 0.575 1
Cl2 Cl 0.038 0.463 0.000 1
Cl3 Cl 0.463 0.038 0.000 1
Cl4 Cl 0.463 0.463 0.425 1
Cl5 Cl 0.474 0.474 0.000 1
```

Record 8
Computed, not measured: a relaxed Cs2GeI2Cl2 crystal at the GGA-PBE level of DFT.

Computed properties:
The total energy comes out at -0.114 hartree per atom. As for the space group: P-1 (2). Its formation energy from raw total energies is -1.239 eV/atom.

```
data_Cs2GeI2Cl2
_cell_length_a 4.670
_cell_length_b 8.413
_cell_length_c 8.864
_cell_angle_alpha 117.01
_cell_angle_beta 105.23
_cell_angle_gamma 90.04
_symmetry_space_group_name_H-M 'P 1'
_symmetry_Int_Tables_number 1
_symmetry_space_group_name_Hall 'P 1'
loop_
_atom_site_label
_atom_site_type_symbol
_atom_site_fract_x
_atom_site_fract_y
_atom_site_fract_z
_atom_site_occupancy
Cs1 Cs 0.166 0.196 0.333 1
Cs2 Cs 0.834 0.804 0.667 1
Ge1 Ge 0.000 0.500 0.000 1
I1 I 0.479 0.236 0.958 1
I2 I 0.521 0.764 0.042 1
Cl1 Cl 0.173 0.617 0.345 1
Cl2 Cl 0.827 0.383 0.655 1
```